Material: TaCrFe2Ir
Method: DFT, GGA-PBEsol
State: relaxed

Geometry as POSCAR:
```
TaCrFe2Ir
1.0
4.572 0.000 0.000
0.000 4.572 0.000
0.000 0.000 4.735
Fe Cr Ir Ta
2 1 1 1
Cartesian
2.286 0.000 0.000
0.000 2.286 0.000
2.286 2.286 2.368
0.000 0.000 0.000
0.000 0.000 2.368
```

## Properties
The calculated density is 9.01 g cm⁻³. The volume comes out at 99 Å³ per cell. The total energy comes out at -8.55 eV/atom.

Material: KCrFe
Method: DFT, GGA-PBEsol
State: relaxed

Geometry as POSCAR:
```
KCrFe
1.0
4.804 0.000 0.000
2.402 4.160 0.000
2.402 1.387 3.922
Cr K Fe
1 1 1
Cartesian
0.000 0.000 0.000
7.206 4.160 2.942
4.804 2.774 1.961
```

## Properties
The calculated density is 3.11 g cm⁻³. The volume comes out at 78 Å³ per cell. The total energy comes out at -4.35 eV/atom.